# PaNiSe

A relaxed structure of PaNiSe (PBE, Alexandria via LeMat-Bulk).

Results
**Calculated total energy**: -6.972 eV per atom
**DOS(E_F)**: 1.440 states/eV/atom
**Formation energy (no corrections)**: -0.718 eV per atom

Unit cell a=3.9812 b=3.9812 c=4.0215 alpha=90.00 beta=90.00 gamma=120.00
Space group P3m1 (No. 156)
Symmetry-distinct sites (fractional):
1 Pa 0.0000 0.0000 0.0000 [1 per cell]
2 Ni 0.6667 0.3333 0.4976 [1 per cell]
3 Se 0.3333 0.6667 0.5002 [1 per cell]

# Tl6I2BrCl3

A relaxed structure of Tl6I2BrCl3 (PBE, Alexandria via LeMat-Bulk).

Results
**Calculated total energy**: -2.908 eV per atom
**DOS(E_F)**: 0.000 states/eV/atom
**Formation energy (no corrections)**: -0.865 eV per atom

Unit cell a=8.2466 b=14.3016 c=8.2543 alpha=90.00 beta=109.55 gamma=90.00
Space group C2/m (No. 12)
Symmetry-distinct sites (fractional):
1 Tl 0.2316 0.0000 0.2307 [4 per cell]
2 Tl 0.2475 0.3383 0.2275 [8 per cell]
3 I 0.0000 0.3349 0.5000 [4 per cell]
4 Br 0.0000 0.0000 0.5000 [2 per cell]
5 Cl 0.0000 0.1719 0.0000 [4 per cell]
6 Cl 0.0000 0.5000 0.0000 [2 per cell]

# TaAgSn2

A relaxed structure of TaAgSn2 (PBE, Alexandria via LeMat-Bulk).

Results
**Calculated total energy**: -5.080 eV per atom
**DOS(E_F)**: 0.906 states/eV/atom
**Calculated formation energy**: 2.39 eV per formula unit

Unit cell a=7.6493 b=7.6493 c=6.1683 alpha=90.00 beta=90.00 gamma=90.00
Space group I-42d (No. 122)
Symmetry-distinct sites (fractional):
1 Ta 0.0000 0.0000 0.0000 [4 per cell]
2 Ag 0.0000 0.0000 0.5000 [4 per cell]
3 Sn 0.2404 0.2500 0.6250 [8 per cell]

# PuNpPdPt

A relaxed structure of PuNpPdPt (PBE, Alexandria via LeMat-Bulk).

Results
**Calculated total energy**: -10.035 eV per atom
**DOS(E_F)**: 3.952 states/eV/atom
**Calculated formation energy**: -1.63 eV per formula unit

Unit cell a=7.0066 b=7.0066 c=7.0066 alpha=90.00 beta=90.00 gamma=90.00
Space group F-43m (No. 216)
Symmetry-distinct sites (fractional):
1 Pu 0.0000 0.0000 0.0000 [4 per cell]
2 Np 0.0000 0.0000 0.5000 [4 per cell]
3 Pd 0.2500 0.2500 0.2500 [4 per cell]
4 Pt 0.2500 0.2500 0.7500 [4 per cell]

# Ba3Cu2OsO8

A relaxed structure of Ba3Cu2OsO8 (PBE, Alexandria via LeMat-Bulk).

Results
**Calculated total energy**: -6.191 eV per atom
**DOS(E_F)**: 0.751 states/eV/atom
**Formation energy (no corrections)**: -1.558 eV per atom

Unit cell a=5.7597 b=5.7597 c=7.6367 alpha=90.00 beta=90.00 gamma=120.00
Space group P-3m1 (No. 164)
Symmetry-distinct sites (fractional):
1 Ba 0.0000 0.0000 0.0000 [1 per cell]
2 Ba 0.3333 0.6667 0.6600 [2 per cell]
3 Cu 0.3333 0.6667 0.2175 [2 per cell]
4 Os 0.0000 0.0000 0.5000 [1 per cell]
5 O 0.1564 0.3129 0.3503 [6 per cell]
6 O 0.3333 0.6667 0.9804 [2 per cell]

# TlInPd2

A relaxed structure of TlInPd2 (PBE, Alexandria via LeMat-Bulk).

Results
**Calculated total energy**: -3.877 eV per atom
**DOS(E_F)**: 0.548 states/eV/atom
**Calculated formation energy**: -0.02 eV per formula unit

Unit cell a=4.3001 b=4.3001 c=18.5973 alpha=90.00 beta=90.00 gamma=90.00
Space group I-42d (No. 122)
Symmetry-distinct sites (fractional):
1 Tl 0.0000 0.0000 0.0000 [4 per cell]
2 In 0.0000 0.0000 0.5000 [4 per cell]
3 Pd 0.2376 0.2500 0.6250 [8 per cell]